1.
Material: Tc2TeCl
Method: DFT, PBE
State: relaxed

Properties
Space-group type = No. 44
DFT total energy = -6.09 eV/atom
Energy above the most stable polymorph in this dataset = 0.373 eV/atom
Total magnetization = 0.5 μB/f.u.
Formation energy from raw total energies = 341.0 meV/atom

a b c (Å): 9.3847 9.3847 9.3847
angles (deg): 161.40 160.68 26.95
Fractional coordinates of all 4 atoms:
Tc: 0.1836 0.6836 0.5000
Tc: 0.0720 0.0720 0.0000
Te: 0.4804 0.4804 0.0000
Cl: 0.7639 0.2639 0.5000



2.
Material: ZnAsCl2
Method: DFT, PBE
State: relaxed

Properties
Space-group type = No. 6
DFT total energy = -2.83 eV/atom
Energy above the most stable polymorph in this dataset = 0.000 eV/atom
Total magnetization = 0.0 μB/f.u.
Formation energy from raw total energies = -426.0 meV/atom

a b c (Å): 4.4377 4.2352 6.6140
angles (deg): 71.37 90.00 90.00
Fractional coordinates of all 4 atoms:
Cl: 0.0000 0.9880 0.9005
Cl: 0.5000 0.2579 0.3564
As: 0.5000 0.6711 0.5328
Zn: 0.0000 0.5830 0.7103



Question: DFT total energy of number 1 (Tc2TeCl)?
Answer: -6.09 eV/atom



Question: Number 2 is which compound?
Answer: ZnAsCl2